# 1
First-principles (PBE) data for La2PmSmEr5 after structural relaxation, as listed in the Alexandria database.

POSCAR file:
```
La2PmSmEr5
1.0
8.6708 0.0000 0.0000
0.0000 8.6708 0.0000
-4.3354 -4.3354 7.8634
Er Pm La Sm
10 2 4 2
direct
0.4265 0.3546 0.2811 Er
0.1454 0.0735 0.7189 Er
0.0735 0.5735 0.7189 Er
0.3546 0.8546 0.2811 Er
0.5735 0.6454 0.7189 Er
0.9265 0.4265 0.2811 Er
0.6454 0.1454 0.7189 Er
0.8546 0.9265 0.2811 Er
0.0000 0.0000 0.0000 Er
0.5000 0.5000 0.0000 Er
0.2500 0.2500 0.5000 Pm
0.7500 0.7500 0.5000 Pm
0.3826 0.8826 0.0000 La
0.8826 0.6174 0.0000 La
0.1174 0.3826 0.0000 La
0.6174 0.1174 0.0000 La
0.7500 0.2500 0.5000 Sm
0.2500 0.7500 0.5000 Sm
```

Calculated values
Calculated formation energy (meV per atom): 249
DFT total energy (Ha/atom): -0.1629

# 2
First-principles (PBE) data for CrNi5Pt after structural relaxation, as listed in the Alexandria database.

POSCAR file:
```
CrNi5Pt
1.0
-3.2900 -2.4562 -1.5027
3.3094 -2.5306 1.3262
-1.9857 -0.1707 4.6280
Ni Pt Cr
5 1 1
direct
0.5000 0.0000 0.7483 Ni
0.5000 0.0000 0.2517 Ni
0.0000 0.5000 0.7483 Ni
0.0000 0.0000 0.5000 Ni
0.0000 0.5000 0.2517 Ni
0.0000 0.0000 0.0000 Pt
0.5000 0.5000 0.5000 Cr
```

Calculated values
Calculated formation energy (meV per atom): 126
DFT total energy (Ha/atom): -0.2294
Polymorph energy (0 for the lowest one) (meV/atom): 0

# 3
First-principles (PBE) data for CeAl2Hg2 after structural relaxation, as listed in the Alexandria database.

POSCAR file:
```
CeAl2Hg2
1.0
-4.2038 -1.1683 -1.0713
0.6547 -4.0450 1.8423
-3.5860 3.8942 9.8246
Hg Ce Al
4 2 4
direct
0.5000 0.0000 0.6349 Hg
0.0000 0.5000 0.3651 Hg
0.5000 0.5000 0.0000 Hg
0.0000 0.0000 0.0000 Hg
0.0000 0.5000 0.7515 Ce
0.5000 0.0000 0.2485 Ce
0.0000 0.0000 0.5000 Al
0.0000 0.5000 0.1363 Al
0.5000 0.5000 0.5000 Al
0.5000 0.0000 0.8637 Al
```

Calculated values
Calculated formation energy (meV per atom): -262
DFT total energy (Ha/atom): -0.1127

# 4
First-principles (PBE) data for Fe2CoIr4 after structural relaxation, as listed in the Alexandria database.

POSCAR file:
```
Fe2CoIr4
1.0
-2.8114 2.9619 3.4690
-0.7692 -5.2755 -0.5370
5.8631 -1.4659 6.0033
Ir Fe Co
8 4 2
direct
0.4652 0.7344 0.5000 Ir
0.0000 0.5000 0.7237 Ir
0.5348 0.2656 0.5000 Ir
0.7344 0.4652 0.0000 Ir
0.0000 0.5000 0.2763 Ir
0.5000 0.0000 0.2237 Ir
0.2656 0.5348 0.0000 Ir
0.5000 0.0000 0.7763 Ir
0.2114 0.0012 0.0000 Fe
0.9988 0.7886 0.5000 Fe
0.7886 0.9988 0.0000 Fe
0.0012 0.2114 0.5000 Fe
0.5000 0.5000 0.7500 Co
0.5000 0.5000 0.2500 Co
```

Calculated values
Calculated formation energy (meV per atom): 295
DFT total energy (Ha/atom): -0.3014

# 5
First-principles (PBE) data for LiPr2ScSe5 after structural relaxation, as listed in the Alexandria database.

POSCAR file:
```
LiPr2ScSe5
1.0
-2.5107 -3.2215 0.4883
6.9452 -3.4410 -4.3163
5.3594 -2.5603 10.6647
Sc Se Pr Li
2 10 4 2
direct
0.1987 0.3973 0.0108 Sc
0.8013 0.6027 0.5108 Sc
0.7177 0.4355 0.1607 Se
0.2823 0.5645 0.6607 Se
0.6422 0.2844 0.4992 Se
0.0538 0.1076 0.0660 Se
0.6908 0.3816 0.8566 Se
0.4974 0.9948 0.7802 Se
0.3578 0.7156 0.9992 Se
0.5026 0.0052 0.2802 Se
0.9462 0.8924 0.5660 Se
0.3092 0.6184 0.3566 Se
0.1058 0.2117 0.6853 Pr
0.1285 0.2569 0.3028 Pr
0.8942 0.7883 0.1853 Pr
0.8715 0.7431 0.8028 Pr
0.4454 0.8908 0.4624 Li
0.5546 0.1092 0.9624 Li
```

Calculated values
Formation energy (no corrections) (eV per atom): -1.718
DFT total energy (Ha/atom): -0.2070

# 6
First-principles (PBE) data for K4TbNb3O12 after structural relaxation, as listed in the Alexandria database.

POSCAR file:
```
K4TbNb3O12
1.0
-1.2442 3.9911 5.9041
-5.0659 -5.1349 -0.5512
6.5210 -3.0907 0.5087
K O Nb Tb
4 12 3 1
direct
0.5000 0.5000 0.5000 K
0.0000 0.5000 0.0000 K
0.5000 0.0000 0.0000 K
0.0000 0.0000 0.5000 K
0.2682 0.0000 0.2682 O
0.7318 0.0000 0.7318 O
0.2500 0.7500 0.5000 O
0.7500 0.5000 0.2500 O
0.7500 0.2500 0.5000 O
0.2682 0.2682 0.0000 O
0.0000 0.2682 0.2682 O
0.2500 0.5000 0.7500 O
0.5000 0.2500 0.7500 O
0.0000 0.7318 0.7318 O
0.5000 0.7500 0.2500 O
0.7318 0.7318 0.0000 O
0.0000 0.5000 0.5000 Nb
0.5000 0.5000 0.0000 Nb
0.5000 0.0000 0.5000 Nb
0.0000 0.0000 0.0000 Tb
```

Calculated values
Formation energy (no corrections) (eV per atom): -2.314
DFT total energy (Ha/atom): -0.2664

# 7
First-principles (PBE) data for Tl2Cu2AgCl7 after structural relaxation, as listed in the Alexandria database.

POSCAR file:
```
Tl2Cu2AgCl7
1.0
-0.8650 3.4790 3.3170
-4.6057 -1.5647 0.4402
0.7533 -6.7635 10.8783
Cu Tl Cl Ag
2 2 7 1
direct
0.5946 0.5946 0.8115 Cu
0.4054 0.4054 0.1885 Cu
0.8228 0.8228 0.3553 Tl
0.1772 0.1772 0.6447 Tl
0.4140 0.9134 0.1735 Cl
0.5000 0.5000 0.0000 Cl
0.0866 0.5860 0.8265 Cl
0.9134 0.4140 0.1735 Cl
0.6883 0.6883 0.6217 Cl
0.5860 0.0866 0.8265 Cl
0.3117 0.3117 0.3783 Cl
0.0000 0.0000 0.0000 Ag
```

Calculated values
Formation energy (no corrections) (eV per atom): -0.586
DFT total energy (Ha/atom): -0.1094

# 8
First-principles (PBE) data for BeSeBr2Cl after structural relaxation, as listed in the Alexandria database.

POSCAR file:
```
BeSeBr2Cl
1.0
-4.1755 2.6650 -1.6491
-3.1324 -3.4629 2.3352
0.0958 2.7888 4.2641
Br Cl Se Be
2 1 1 1
direct
0.0000 0.5000 0.0000 Br
0.5000 0.0000 0.0000 Br
0.0000 0.0000 0.0000 Cl
0.0000 0.0000 0.5000 Se
0.5000 0.5000 0.5000 Be
```

Calculated values
Formation energy (no corrections) (eV per atom): 1.036
DFT total energy (Ha/atom): -0.0531
Polymorph energy (0 for the lowest one) (meV/atom): 896

# 9
First-principles (PBE) data for CsSmY4S8 after structural relaxation, as listed in the Alexandria database.

POSCAR file:
```
CsSmY4S8
1.0
8.3315 0.0000 0.0000
4.1658 7.2153 0.0000
4.1658 2.4051 6.9297
S Y Sm Cs
8 4 1 1
direct
0.2308 0.7555 0.2583 S
0.7566 0.7566 0.7301 S
0.7555 0.2308 0.2583 S
0.7555 0.7555 0.2583 S
0.2330 0.2330 0.7215 S
0.2330 0.8126 0.7215 S
0.8126 0.2330 0.7215 S
0.2268 0.2268 0.3197 S
0.0038 0.0038 0.5049 Y
0.0038 0.4874 0.5049 Y
0.6253 0.6253 0.1242 Y
0.4874 0.0038 0.5049 Y
0.0055 0.0055 0.9835 Sm
0.3706 0.3706 0.8883 Cs
```

Calculated values
Formation energy (no corrections) (eV per atom): -1.865
DFT total energy (Ha/atom): -0.2377

# 10
First-principles (PBE) data for Mg2Rh6N after structural relaxation, as listed in the Alexandria database.

POSCAR file:
```
Mg2Rh6N
1.0
-5.4217 1.3264 -0.7933
-1.5413 -4.4212 3.1412
0.1645 4.5394 6.4699
Rh N Mg
12 2 4
direct
0.7560 0.7560 0.0001 Rh
0.7560 0.2440 0.0000 Rh
0.7440 0.2560 0.4999 Rh
0.2560 0.2560 0.5000 Rh
0.5000 0.5000 0.2578 Rh
0.7440 0.7440 0.5000 Rh
0.5000 0.5000 0.7422 Rh
0.2440 0.2440 0.9999 Rh
0.2440 0.7560 0.0000 Rh
0.0000 0.0000 0.7578 Rh
0.2560 0.7440 0.5001 Rh
0.0000 0.0000 0.2422 Rh
0.5000 0.5000 0.0000 N
0.0000 0.0000 0.5000 N
0.9998 0.5000 0.7499 Mg
0.5002 0.0000 0.7501 Mg
0.4998 0.0000 0.2499 Mg
0.0002 0.5000 0.2501 Mg
```

Calculated values
Formation energy (no corrections) (eV per atom): -0.247
DFT total energy (Ha/atom): -0.2362

# 11
First-principles (PBE) data for Pm2Sm3ScTe6 after structural relaxation, as listed in the Alexandria database.

POSCAR file:
```
Pm2Sm3ScTe6
1.0
4.3883 0.0000 0.0000
0.0000 8.8454 0.3528
-2.1941 -2.5107 9.2721
Te Sm Pm Sc
6 3 2 1
direct
0.0029 0.7656 0.0058 Te
0.3429 0.9228 0.6858 Te
0.3352 0.4156 0.6704 Te
0.6571 0.0772 0.3142 Te
0.9971 0.2344 0.9942 Te
0.6648 0.5844 0.3296 Te
0.1749 0.8375 0.3498 Sm
0.8251 0.1625 0.6502 Sm
0.5000 0.5000 0.0000 Sm
0.8310 0.6652 0.6621 Pm
0.1690 0.3348 0.3379 Pm
0.5000 0.0000 0.0000 Sc
```

Calculated values
Formation energy (no corrections) (eV per atom): -1.336
DFT total energy (Ha/atom): -0.1987

# 12
First-principles (PBE) data for PmSm2YHo after structural relaxation, as listed in the Alexandria database.

POSCAR file:
```
PmSm2YHo
1.0
-4.0436 0.2258 -5.9852
-4.7224 -6.2959 2.9530
-1.1896 7.0047 1.0679
Ho Sm Pm Y
2 4 2 2
direct
0.2500 0.9808 0.9617 Ho
0.7500 0.0192 0.0383 Ho
0.0000 0.6925 0.0000 Sm
0.5000 0.3075 0.0000 Sm
0.0000 0.3075 0.0000 Sm
0.5000 0.6925 0.0000 Sm
0.7500 0.2827 0.5654 Pm
0.2500 0.7173 0.4346 Pm
0.7500 0.7397 0.4795 Y
0.2500 0.2603 0.5205 Y
```

Calculated values
Calculated formation energy (meV per atom): 385
DFT total energy (Ha/atom): -0.1713

# 13
First-principles (PBE) data for Pm2DyTm after structural relaxation, as listed in the Alexandria database.

POSCAR file:
```
Pm2DyTm
1.0
5.7047 0.0000 0.0000
2.8523 4.9404 0.0000
2.8523 1.6468 4.6579
Pm Dy Tm
2 1 1
direct
0.7500 0.7500 0.7500 Pm
0.2500 0.2500 0.2500 Pm
0.5000 0.5000 0.5000 Dy
0.0000 0.0000 0.0000 Tm
```

Calculated values
Calculated formation energy (meV per atom): 115
DFT total energy (Ha/atom): -0.1664
Polymorph energy (0 for the lowest one) (meV/atom): 100

# 14
First-principles (PBE) data for Zr2SiNi after structural relaxation, as listed in the Alexandria database.

POSCAR file:
```
Zr2SiNi
1.0
-1.4359 -2.3667 2.7265
-1.8622 -3.2500 -1.0333
3.7701 -4.6984 0.6756
Ni Zr Si
1 2 1
direct
0.4862 0.2490 0.7787 Ni
0.6994 0.4621 0.1391 Zr
0.8997 0.6629 0.5377 Zr
0.1251 0.8880 0.8619 Si
```

Calculated values
Formation energy (no corrections) (eV per atom): -0.491
DFT total energy (Ha/atom): -0.2780

# 15
First-principles (PBE) data for AgAsBr2 after structural relaxation, as listed in the Alexandria database.

POSCAR file:
```
AgAsBr2
1.0
5.0731 0.0000 0.0000
2.5366 4.3935 0.0000
2.5366 1.4645 4.1422
Br As Ag
2 1 1
direct
0.0000 0.0000 0.0000 Br
0.2500 0.2500 0.2500 Br
0.7500 0.7500 0.7500 As
0.5000 0.5000 0.5000 Ag
```

Calculated values
Formation energy (no corrections) (eV per atom): 0.535
DFT total energy (Ha/atom): -0.0800
Polymorph energy (0 for the lowest one) (meV/atom): 670

# 16
First-principles (PBE) data for Nd2Co2Cu after structural relaxation, as listed in the Alexandria database.

POSCAR file:
```
Nd2Co2Cu
1.0
5.4239 0.0000 0.0000
-2.7119 4.6585 0.0299
0.0000 -2.0994 7.5623
Co Cu Nd
4 2 4
direct
0.7131 0.7171 0.4918 Co
0.2869 0.2829 0.5082 Co
0.9960 0.2829 0.0082 Co
0.0040 0.7171 0.9918 Co
0.1348 0.0000 0.7500 Cu
0.8652 0.0000 0.2500 Cu
0.4952 0.2925 0.1471 Nd
0.2027 0.7075 0.3529 Nd
0.5048 0.7075 0.8529 Nd
0.7973 0.2925 0.6471 Nd
```

Calculated values
Calculated formation energy (meV per atom): -60
DFT total energy (Ha/atom): -0.2069

# 17
First-principles (PBE) data for AcSn2Au8 after structural relaxation, as listed in the Alexandria database.

POSCAR file:
```
AcSn2Au8
1.0
-2.2854 -2.9027 4.1587
4.9296 -2.3428 1.0738
2.0223 7.0061 6.0014
Au Sn Ac
8 2 1
direct
0.2471 0.2471 0.7649 Au
0.7529 0.2471 0.7649 Au
0.2471 0.7529 0.7649 Au
0.7529 0.2471 0.2351 Au
0.2471 0.7529 0.2351 Au
0.7529 0.7529 0.2351 Au
0.2471 0.2471 0.2351 Au
0.7529 0.7529 0.7649 Au
0.0000 0.5000 0.0000 Sn
0.5000 0.0000 0.0000 Sn
0.5000 0.5000 0.5000 Ac
```

Calculated values
Calculated formation energy (meV per atom): -116
DFT total energy (Ha/atom): -0.1323

# 18
First-principles (PBE) data for Zr2IrCl after structural relaxation, as listed in the Alexandria database.

POSCAR file:
```
Zr2IrCl
1.0
9.7966 0.0300 0.0177
9.2273 3.2912 0.0177
9.2273 1.6109 2.8701
Zr Ir Cl
2 1 1
direct
0.0046 0.0046 0.0046 Zr
0.2459 0.2459 0.2459 Zr
0.7327 0.7327 0.7327 Ir
0.5168 0.5168 0.5168 Cl
```

Calculated values
Formation energy (no corrections) (eV per atom): -0.469
DFT total energy (Ha/atom): -0.2727
Polymorph energy (0 for the lowest one) (meV/atom): 342

# 19
First-principles (PBE) data for GdGaRh after structural relaxation, as listed in the Alexandria database.

POSCAR file:
```
GdGaRh
1.0
-3.5080 0.8719 -1.0481
0.6182 -2.0561 -3.7795
-1.5632 -2.1719 3.4254
Gd Rh Ga
1 1 1
direct
0.6666 0.6667 0.3333 Gd
0.1666 0.3333 0.6667 Rh
0.1667 0.0000 0.0000 Ga
```

Calculated values
Calculated formation energy (meV per atom): -764
DFT total energy (Ha/atom): -0.3277

# 20
First-principles (PBE) data for BaReAg after structural relaxation, as listed in the Alexandria database.

POSCAR file:
```
BaReAg
1.0
-5.9712 0.7569 -1.8677
-4.6666 -4.1849 -0.6530
4.4086 2.9883 3.3692
Ag Re Ba
1 1 1
direct
0.9529 0.9529 0.0000 Ag
0.3787 0.3787 0.0000 Re
0.6684 0.6684 0.0000 Ba
```

Calculated values
Calculated formation energy (meV per atom): 1022
DFT total energy (Ha/atom): -0.1734
Polymorph energy (0 for the lowest one) (meV/atom): 0